Here is NdHfMg after structural relaxation from Alexandria. Energies are from GGA-PBE.

Its size of the total moment is 0.00 μB/f.u. The value obtained for the density of states at the Fermi level is 5.35 states/eV per cell. The value obtained for the energy of formation is 51 kJ/mol of formula units. For the relative energy among the computed polymorphs, the calculation gives 73 meV/atom. The total DFT energy (no corrections) comes out at -5.264 eV per atom.

The structure belongs to space group P3m1 (No. 156); the cell edges are 3.3024, 3.3024 and 16.8200 Å and the angles 90.00°, 90.00° and 120.00°. The distinct sites, in fractional coordinates, are Nd at (0.0000, 0.0000, 0.0000), Nd at (0.0000, 0.0000, 0.3650), Hf at (0.3333, 0.6667, 0.5256), Hf at (0.3333, 0.6667, 0.8393), Mg at (0.0000, 0.0000, 0.6823) and Mg at (0.3333, 0.6667, 0.1821).